The following is a PBE calculation of crystalline TbBPO at its relaxed geometry, from the Open Quantum Materials Database.

CIF file:
```
data_TbBPO
_space_group_name_H-M_alt 'P 4/n m m'
_space_group_IT_number 129
_cell_length_a 3.9136
_cell_length_b 3.9136
_cell_length_c 7.0767
_cell_angle_alpha 90.00
_cell_angle_beta 90.00
_cell_angle_gamma 90.00
loop_
_space_group_symop_operation_xyz
'x,y,z'
'-x,-y,-z'
'-y+1/2,x,z'
'y+1/2,-x,-z'
'-x+1/2,-y+1/2,z'
'x+1/2,y+1/2,-z'
'y,-x+1/2,z'
'-y,x+1/2,-z'
'x+1/2,-y,-z'
'-x+1/2,y,z'
'-y,-x,-z'
'y,x,z'
'-x,y+1/2,-z'
'x,-y+1/2,z'
'y+1/2,x+1/2,-z'
'-y+1/2,-x+1/2,z'
loop_
_atom_site_label
_atom_site_fract_x
_atom_site_fract_y
_atom_site_fract_z
_atom_site_occupancy
Tb1 0.2500 0.2500 0.1595 1
B1 0.2500 0.7500 0.5000 1
P1 0.2500 0.2500 0.6001 1
O1 0.2500 0.7500 0.0000 1
```

# ZrMo PBE relaxed
data_ZrMo
_space_group_name_H-M_alt 'P m m n'
_space_group_IT_number 59
_cell_length_a 4.9639
_cell_length_b 11.0449
_cell_length_c 5.5636
_cell_angle_alpha 90.00
_cell_angle_beta 90.00
_cell_angle_gamma 90.00
loop_
_space_group_symop_operation_xyz
'x,y,z'
'-x,-y,-z'
'-x+1/2,-y+1/2,z'
'x+1/2,y+1/2,-z'
'x+1/2,-y,-z'
'-x+1/2,y,z'
'-x,y+1/2,-z'
'x,-y+1/2,z'
loop_
_atom_site_label
_atom_site_fract_x
_atom_site_fract_y
_atom_site_fract_z
_atom_site_occupancy
Zr1 0.2500 0.0104 0.1335 1
Zr2 0.2500 0.6154 0.6038 1
Mo1 0.2500 0.1404 0.6737 1
Mo2 0.2500 0.2500 0.1867 1
Mo3 0.2500 0.7500 0.0950 1
# Energy of formation in eV/atom: 0.2409

The following final energy values (in eV per atom) correspond, in order, to the records above: -6.871; -9.457.